(1)
A plane-wave DFT calculation with PBE was carried out for Cd4TcO6 after structural relaxation.

For the total moment, the calculation gives 0.1425 μB/atom. The crystal system is monoclinic. The calculation puts the total energy at -54.38 eV/f.u.

The structure belongs to space group Cc (No. 9); the cell edges are 11.070, 6.256 and 11.441 Å and the angles 90.00°, 109.26° and 90.00°. Symmetry generates all atoms from Cd at (0.000, 0.115, 0.000), Cd at (0.151, 0.378, 0.509), Cd at (0.179, 0.155, 0.804), Cd at (0.357, 0.167, 0.127), Tc at (0.438, 0.312, 0.745), O at (0.043, 0.196, 0.611), O at (0.111, 0.202, 0.322), O at (0.173, 0.277, 0.984), O at (0.360, 0.217, 0.576), O at (0.372, 0.449, 0.291) and O at (0.374, 0.061, 0.795).

=====

(2)
A plane-wave DFT calculation with PBE was carried out for CdTc2O after structural relaxation.

For the total moment, the calculation gives 0.4267 μB/atom. The crystal system is tetragonal. The value obtained for the offset from the most stable computed form is 0.000 eV/f.u.

The structure belongs to space group I-42d (No. 122); the cell edges are 4.763, 4.763 and 13.050 Å and the angles 90.00°, 90.00° and 90.00°. Symmetry generates all atoms from Cd at (0.000, 0.000, 0.000), Tc at (0.043, 0.250, 0.625) and O at (0.000, 0.000, 0.500).

=====

(3)
A plane-wave DFT calculation with PBE was carried out for Cd2TcO6 after structural relaxation.

For the total moment, the calculation gives 0.1180 μB/atom. The crystal system is tetragonal. The calculation puts the total energy at -50.08 eV/f.u.

The structure belongs to space group P4_2/mnm (No. 136); the cell edges are 4.992, 4.992 and 9.941 Å and the angles 90.00°, 90.00° and 90.00°. Symmetry generates all atoms from Cd at (0.000, 0.000, 0.163), Tc at (0.000, 0.000, 0.500), O at (0.183, 0.183, 0.361) and O at (0.230, 0.230, 0.000).

=====

(4)
A plane-wave DFT calculation with PBE was carried out for Cd3TcO after structural relaxation.

For the total moment, the calculation gives 0.3778 μB/atom. The crystal system is cubic. The value obtained for the offset from the most stable computed form is 0.000 eV/f.u.

The structure belongs to space group Pm-3m (No. 221); the cell edges are 4.539, 4.539 and 4.539 Å and the angles 90.00°, 90.00° and 90.00°. Symmetry generates all atoms from Cd at (0.000, 0.000, 0.500), Tc at (0.500, 0.500, 0.500) and O at (0.000, 0.000, 0.000).

=====

(5)
A plane-wave DFT calculation with PBE was carried out for CdTc3O12 after structural relaxation.

For the total moment, the calculation gives 0.0777 μB/atom. The crystal system is trigonal. The calculation puts the total energy at -110.31 eV/f.u.

The structure belongs to space group R3c (No. 161, hexagonal axes); the cell edges are 10.0113, 10.0113 and 23.7891 Å and the angles 90.00°, 90.00° and 120.00°. Symmetry generates all atoms from Cd at (0.0000, 0.0000, 0.0000), Tc at (0.0174, 0.2719, 0.1247), O at (0.0004, 0.1946, 0.4510), O at (0.0587, 0.4928, 0.4829), O at (0.1001, 0.2038, 0.1725) and O at (0.1536, 0.4836, 0.7261).

=====

(6)
A plane-wave DFT calculation with PBE was carried out for CdTc3O after structural relaxation.

For the total moment, the calculation gives 0.3454 μB/atom. The crystal system is cubic. The value obtained for the offset from the most stable computed form is 0.000 eV/f.u.

The structure belongs to space group Pm-3m (No. 221); the cell edges are 4.144, 4.144 and 4.144 Å and the angles 90.00°, 90.00° and 90.00°. Symmetry generates all atoms from Cd at (0.000, 0.000, 0.000), Tc at (0.000, 0.500, 0.500) and O at (0.500, 0.500, 0.500).

=====

(7)
A plane-wave DFT calculation with PBE was carried out for CdTc2O6 after structural relaxation.

For the total moment, the calculation gives 0.0000 μB/atom. The crystal system is trigonal. The value obtained for the offset from the most stable computed form is 0.781 eV/f.u.

The structure belongs to space group R3m (No. 160, hexagonal axes); the cell edges are 6.1085, 6.1085 and 17.9335 Å and the angles 90.00°, 90.00° and 120.00°. Symmetry generates all atoms from Cd at (0.0000, 0.0000, 0.0000), Tc at (0.0000, 0.0000, 0.2641), Tc at (0.0000, 0.0000, 0.4024), O at (0.1692, 0.3384, 0.9159) and O at (0.1695, 0.3390, 0.0852).

=====

(8)
A plane-wave DFT calculation with PBE was carried out for Cd2Tc2O7 after structural relaxation.

For the total moment, the calculation gives 0.3556 μB/atom. The crystal system is cubic. The value obtained for the offset from the most stable computed form is 0.170 eV/f.u.

The structure belongs to space group Fd-3m (No. 227, origin choice 2); the cell edges are 10.336, 10.336 and 10.336 Å and the angles 90.00°, 90.00° and 90.00°. Symmetry generates all atoms from Cd at (0.000, 0.000, 0.000), Tc at (0.000, 0.000, 0.500), O at (0.068, 0.375, 0.875) and O at (0.125, 0.125, 0.125).